Crystalline ZrNbH3 at its relaxed geometry. Source: Alexandria, functional PBE.

Cell lengths 3.6563, 3.6563, 3.6563 Å; angles 90.00, 90.00, 90.00 degrees
Last column: nearest neighbours and their distance in Å.
Sites, in units of the cell vectors:
H: 0.0000 0.5000 0.0000  2 Nb 1.83
H: 0.0000 0.0000 0.5000  2 Nb 1.83
H: 0.5000 0.0000 0.0000  2 Nb 1.83
Nb: 0.0000 0.0000 0.0000  6 H 1.83
Zr: 0.5000 0.5000 0.5000  12 H 2.59

Computed properties:
SG = Pm-3m (221)
calculated total energy = -29.58 eV for the cell shown
magnetization = 0.000 μB/cell
relative energy among the computed polymorphs = 0.168 eV/atom
D(E_F) = 0.26 states/eV/atom